Density functional theory data (GGA-PBE) for Nd5Y2Tl2 after structural relaxation.

**Symmetry**: No. 46
**Electronic total energy**: -84.00 eV per cell
**Crystal system**: orthorhombic
**E_form**: -56 meV/atom

Cell lengths 11.4175, 11.4175, 11.4175 Å; angles 58.13, 146.65, 133.85 degrees
Last column: nearest neighbours and their distance in Å.
Fractional coordinates of all 18 atoms:
1 Nd 0.1212 0.0868 0.2080  3 Tl 3.40-3.54, 4 Y 3.52-3.80, 2 Nd 3.63-3.70
2 Nd 0.1212 0.4132 0.5344  3 Tl 3.40-3.54, 4 Y 3.52-3.80, 2 Nd 3.63-3.70
3 Nd 0.2769 0.5131 0.1005  3 Tl 3.23-3.39, 1 Nd 3.26, 2 Y 3.32-3.39
4 Nd 0.2769 0.6764 0.2637  3 Tl 3.23-3.39, 1 Nd 3.26, 2 Y 3.32-3.39
5 Nd 0.4126 0.0131 0.7363  3 Tl 3.23-3.39, 1 Nd 3.26, 2 Y 3.32-3.39
6 Nd 0.4126 0.1764 0.8995  3 Tl 3.23-3.39, 1 Nd 3.26, 2 Y 3.32-3.39
7 Nd 0.5864 0.4368 0.6496  3 Tl 3.33-3.65, 2 Nd 3.64
8 Nd 0.7873 0.9368 0.3504  3 Tl 3.33-3.65, 2 Nd 3.64
9 Nd 0.8788 0.5868 0.4656  3 Tl 3.40-3.54, 4 Y 3.52-3.80, 2 Nd 3.63-3.70
10 Nd 0.8788 0.9132 0.7920  3 Tl 3.40-3.54, 4 Y 3.52-3.80, 2 Nd 3.63-3.70
11 Y 0.5286 0.0810 0.3078  1 Y 3.22, 2 Tl 3.25-3.31, 5 Nd 3.32-3.57
12 Y 0.5286 0.7208 0.9476  1 Y 3.22, 2 Tl 3.25-3.31, 5 Nd 3.32-3.57
13 Y 0.7732 0.2208 0.6922  1 Y 3.22, 2 Tl 3.25-3.31, 5 Nd 3.32-3.57
14 Y 0.7732 0.5810 0.0524  1 Y 3.22, 2 Tl 3.25-3.31, 5 Nd 3.32-3.57
15 Tl 0.1178 0.7832 0.8346  8 Nd 3.23-3.54
16 Tl 0.3271 0.3271 0.0000  4 Y 3.25-3.31, 6 Nd 3.39-3.49
17 Tl 0.3271 0.8271 0.5000  4 Y 3.25-3.31, 6 Nd 3.39-3.49
18 Tl 0.9486 0.2832 0.1654  8 Nd 3.23-3.54